# 1
Below is an optimized crystal structure of SmTm2PuO8, with properties calculated at the PBE level.

The structure belongs to space group Cmmm (No. 65); the cell edges are 7.1440, 7.1821 and 6.9876 Å and the angles 90.00°, 90.00° and 90.00°. The distinct sites, in fractional coordinates, are Sm at (0.0000, 0.0000, 0.0000), Tm at (0.0000, 0.5000, 0.2416), Pu at (0.0000, 0.0000, 0.5000), O at (0.0000, 0.1880, 0.2824), O at (0.1847, 0.5000, 0.0000) and O at (0.2182, 0.5000, 0.5000).

The total energy is -209.52 eV/cell. The value obtained for the formation energy (no corrections) is -37.103 eV/f.u.

=====

# 2
Below is an optimized crystal structure of SmPuUO6, with properties calculated at the PBE level.

The structure belongs to space group P-31c (No. 163); the cell edges are 5.8861, 5.8861 and 9.3151 Å and the angles 90.00°, 90.00° and 120.00°. The distinct sites, in fractional coordinates, are Sm at (0.3333, 0.6667, 0.2500), Pu at (0.0000, 0.0000, 0.0000), U at (0.3333, 0.6667, 0.7500) and O at (0.0287, 0.3536, 0.6314).

The total energy is -176.80 eV/cell. The value obtained for the formation energy (no corrections) is -28.311 eV/f.u.

=====

# 3
Below is an optimized crystal structure of Pu2SnO, with properties calculated at the PBE level.

The structure belongs to space group R-3m (No. 166, hexagonal axes); the cell edges are 4.1073, 4.1073 and 16.3967 Å and the angles 90.00°, 90.00° and 120.00°. The distinct sites, in fractional coordinates, are Pu at (0.0000, 0.0000, 0.1890), Sn at (0.0000, 0.0000, 0.0000) and O at (0.0000, 0.0000, 0.5000).

The total energy is -118.92 eV/cell. The energy above the lowest structure with this stoichiometry is 3.607 eV/f.u. The value obtained for the formation energy (no corrections) is -2.016 eV/f.u.

=====

# 4
Below is an optimized crystal structure of Pu2SnO8, with properties calculated at the PBE level.

The structure belongs to space group C2/m (No. 12); the cell edges are 11.5965, 7.0976 and 4.1711 Å and the angles 90.00°, 99.34° and 90.00°. The distinct sites, in fractional coordinates, are Pu at (0.1970, 0.0000, 0.4289), Sn at (0.0000, 0.5000, 0.5000), O at (0.0421, 0.0000, 0.2681), O at (0.1388, 0.3221, 0.4884) and O at (0.2149, 0.0000, 0.9347).

The total energy is -184.49 eV/cell. The value obtained for the formation energy (no corrections) is -19.912 eV/f.u.

=====

# 5
Below is an optimized crystal structure of Pu2SnO, with properties calculated at the PBE level.

The structure belongs to space group P4/mmm (No. 123); the cell edges are 3.1502, 3.1502 and 8.0378 Å and the angles 90.00°, 90.00° and 90.00°. The distinct sites, in fractional coordinates, are Pu at (0.0000, 0.0000, 0.1932), Sn at (0.5000, 0.5000, 0.5000) and O at (0.5000, 0.5000, 0.0000).

The total energy is -41.93 eV/cell. The energy above the lowest structure with this stoichiometry is 1.315 eV/f.u. The value obtained for the formation energy (no corrections) is -4.308 eV/f.u.

=====

# 6
Below is an optimized crystal structure of Pu2SnO, with properties calculated at the PBE level.

The structure belongs to space group Cccm (No. 66); the cell edges are 5.2623, 12.9195 and 5.5647 Å and the angles 90.00°, 90.00° and 90.00°. The distinct sites, in fractional coordinates, are Pu at (0.2396, 0.0989, 0.0000), Sn at (0.2500, 0.2500, 0.5000) and O at (0.0000, 0.0000, 0.2500).

The total energy is -172.99 eV/cell. The energy above the lowest structure with this stoichiometry is 0.000 eV/f.u. The value obtained for the formation energy (no corrections) is -5.623 eV/f.u.

=====

# 7
Below is an optimized crystal structure of Pu3Sn5O12, with properties calculated at the PBE level.

The structure belongs to space group Ia-3d (No. 230); the cell edges are 13.4952, 13.4952 and 13.4952 Å and the angles 90.00°, 90.00° and 90.00°. The distinct sites, in fractional coordinates, are Pu at (0.0000, 0.2500, 0.1250), Sn at (0.0000, 0.0000, 0.0000), Sn at (0.0000, 0.2500, 0.3750) and O at (0.0207, 0.0638, 0.6444).

The total energy is -1267.11 eV/cell. The value obtained for the formation energy (no corrections) is -35.881 eV/f.u.

=====

# 8
Below is an optimized crystal structure of Pu3SnO3, with properties calculated at the PBE level.

The structure belongs to space group R-3 (No. 148, hexagonal axes); the cell edges are 6.6792, 6.6792 and 23.5388 Å and the angles 90.00°, 90.00° and 120.00°. The distinct sites, in fractional coordinates, are Pu at (0.0011, 0.6610, 0.3948), Sn at (0.0000, 0.0000, 0.1666) and O at (0.0018, 0.6714, 0.6285).

The total energy is -463.65 eV/cell. The value obtained for the formation energy (no corrections) is -15.402 eV/f.u.

=====

formation energy (no corrections) of number 6 (Pu2SnO)?
-5.623 eV/f.u.

=====

What did the fourth record say?
Below is an optimized crystal structure of Pu2SnO8, with properties calculated at the PBE level.

The structure belongs to space group C2/m (No. 12); the cell edges are 11.5965, 7.0976 and 4.1711 Å and the angles 90.00°, 99.34° and 90.00°. The distinct sites, in fractional coordinates, are Pu at (0.1970, 0.0000, 0.4289), Sn at (0.0000, 0.5000, 0.5000), O at (0.0421, 0.0000, 0.2681), O at (0.1388, 0.3221, 0.4884) and O at (0.2149, 0.0000, 0.9347).

The total energy is -184.49 eV/cell. The value obtained for the formation energy (no corrections) is -19.912 eV/f.u.

=====

Copy entry 4 word for word.
Below is an optimized crystal structure of Pu2SnO8, with properties calculated at the PBE level.

The structure belongs to space group C2/m (No. 12); the cell edges are 11.5965, 7.0976 and 4.1711 Å and the angles 90.00°, 99.34° and 90.00°. The distinct sites, in fractional coordinates, are Pu at (0.1970, 0.0000, 0.4289), Sn at (0.0000, 0.5000, 0.5000), O at (0.0421, 0.0000, 0.2681), O at (0.1388, 0.3221, 0.4884) and O at (0.2149, 0.0000, 0.9347).

The total energy is -184.49 eV/cell. The value obtained for the formation energy (no corrections) is -19.912 eV/f.u.

=====

Which value of total energy does entry 1 give?
-209.52 eV/cell